# 1
Below is In2SnS3 after structural relaxation, with properties calculated at the GGA-PBE level.

Lattice parameters (Å, degrees): 3.9084 7.4397 11.5245 89.83 80.29 90.00
Closest atoms and distances in Å follow each position.
Fractional positions:
In: 0.0225 0.2504 0.4592  4 S 3.13-3.14
In: 0.1527 0.7524 0.1959  6 S 3.04-3.32
In: 0.8473 0.2476 0.8041  6 S 3.04-3.32
In: 0.9775 0.7496 0.5408  4 S 3.13-3.14
Sn: 0.3383 0.7478 0.8244  4 S 2.42-2.49
Sn: 0.6617 0.2522 0.1756  4 S 2.42-2.49
S: 0.2290 0.2515 0.0402  2 Sn 2.49
S: 0.4072 0.5027 0.6846  1 Sn 2.42
S: 0.4073 0.9944 0.6846  1 Sn 2.42
S: 0.5927 0.0056 0.3154  1 Sn 2.42
S: 0.5928 0.4973 0.3154  1 Sn 2.42
S: 0.7710 0.7485 0.9598  2 Sn 2.49

Calculated values
**Formation energy from raw total energies**: -28.2 kJ per mole of atoms



# 2
Below is CaY2Mg after structural relaxation, with properties calculated at the GGA-PBE level.

Lattice parameters (Å, degrees): 6.6603 6.6603 5.6138 114.87 114.87 34.30
Closest atoms and distances in Å follow each position.
Fractional positions:
Ca: 0.0000 0.0000 0.0000  2 Mg 3.28, 4 Y 3.46
Y: 0.5416 0.5416 0.5415  2 Mg 3.27, 4 Ca 3.46, 2 Y 3.63
Y: 0.7740 0.7740 0.2733  4 Mg 3.42-3.43, 2 Y 3.63, 4 Ca 3.70-3.82
Mg: 0.2701 0.2701 0.7692  6 Y 3.27-3.43, 2 Ca 3.28

Calculated values
**Energy relative to the elements**: 55 meV/atom



# 3
Below is CaAl3Ge3 after structural relaxation, with properties calculated at the GGA-PBE level.

Lattice parameters (Å, degrees): 7.0639 7.0639 7.0639 90.00 90.00 90.00
Closest atoms and distances in Å follow each position.
Fractional positions:
Ca: 0.0000 0.0000 0.0000  12 Ge 3.95, 12 Al 3.95
Ca: 0.5000 0.5000 0.5000  12 Ge 3.95, 12 Al 3.95
Al: 0.0000 0.2500 0.5000  4 Ge 2.50
Al: 0.0000 0.7500 0.5000  4 Ge 2.50
Al: 0.2500 0.5000 0.0000  4 Ge 2.50
Al: 0.5000 0.0000 0.2500  4 Ge 2.50
Al: 0.5000 0.0000 0.7500  4 Ge 2.50
Al: 0.7500 0.5000 0.0000  4 Ge 2.50
Ge: 0.0000 0.5000 0.2500  4 Al 2.50
Ge: 0.0000 0.5000 0.7500  4 Al 2.50
Ge: 0.2500 0.0000 0.5000  4 Al 2.50
Ge: 0.5000 0.2500 0.0000  4 Al 2.50
Ge: 0.5000 0.7500 0.0000  4 Al 2.50
Ge: 0.7500 0.0000 0.5000  4 Al 2.50

Calculated values
**Excess energy over the best structure of this formula in the dataset**: 0.153 eV per atom
**Energy relative to the elements**: 15 meV/atom



# 4
Below is V2NiPt2 after structural relaxation, with properties calculated at the GGA-PBE level.

Lattice parameters (Å, degrees): 7.4035 7.4035 2.7134 90.00 90.00 90.00
Closest atoms and distances in Å follow each position.
Fractional positions:
V: 0.1164 0.3836 0.0000  3 V 2.44-2.71, 6 Pt 2.56-2.60
V: 0.3836 0.8836 0.0000  3 V 2.44-2.71, 6 Pt 2.56-2.60
V: 0.6164 0.1164 0.0000  3 V 2.44-2.71, 6 Pt 2.56-2.60
V: 0.8836 0.6164 0.0000  3 V 2.44-2.71, 6 Pt 2.56-2.60
Ni: 0.0000 0.0000 0.0000  2 Ni 2.71, 4 V 2.97
Ni: 0.5000 0.5000 0.0000  2 Ni 2.71, 4 V 2.97
Pt: 0.1765 0.6765 0.5000  6 V 2.56-2.60, 2 Pt 2.71
Pt: 0.3235 0.1765 0.5000  6 V 2.56-2.60, 2 Pt 2.71
Pt: 0.6765 0.8235 0.5000  6 V 2.56-2.60, 2 Pt 2.71
Pt: 0.8235 0.3235 0.5000  6 V 2.56-2.60, 2 Pt 2.71

Calculated values
**Excess energy over the best structure of this formula in the dataset**: 0.220 eV per atom
**Energy relative to the elements**: -122 meV/atom



# 5
Below is Sc12Fe6Bi after structural relaxation, with properties calculated at the GGA-PBE level.

Lattice parameters (Å, degrees): 7.8562 7.8562 7.8562 109.47 109.47 109.47
Closest atoms and distances in Å follow each position.
Fractional positions:
Sc: 0.0994 0.8011 0.2983  1 Fe 2.48
Sc: 0.1989 0.2983 0.4972  1 Fe 2.48
Sc: 0.1989 0.7017 0.9006  1 Fe 2.48
Sc: 0.2983 0.0994 0.8011  1 Fe 2.48
Sc: 0.2983 0.4972 0.1989  1 Fe 2.48
Sc: 0.4972 0.1989 0.2983  1 Fe 2.48
Sc: 0.5028 0.8011 0.7017  1 Fe 2.48
Sc: 0.7017 0.5028 0.8011  1 Fe 2.48
Sc: 0.7017 0.9006 0.1989  1 Fe 2.48
Sc: 0.8011 0.2983 0.0994  1 Fe 2.48
Sc: 0.8011 0.7017 0.5028  1 Fe 2.48
Sc: 0.9006 0.1989 0.7017  1 Fe 2.48
Fe: 0.1167 0.6167 0.5000  1 Fe 2.12
Fe: 0.3833 0.5000 0.8833  1 Fe 2.12
Fe: 0.5000 0.1167 0.6167  1 Fe 2.12
Fe: 0.5000 0.8833 0.3833  1 Fe 2.12
Fe: 0.6167 0.5000 0.1167  1 Fe 2.12
Fe: 0.8833 0.3833 0.5000  1 Fe 2.12
Bi: 0.0000 0.0000 0.0000  12 Sc 3.25

Calculated values
**Energy relative to the elements**: -178 meV/atom



# 6
Below is As3Cl after structural relaxation, with properties calculated at the GGA-PBE level.

Lattice parameters (Å, degrees): 5.7360 5.7360 5.7360 145.21 74.45 116.54
Closest atoms and distances in Å follow each position.
Fractional positions:
As: 0.0000 0.0000 0.0000  4 As 2.63
As: 0.6316 0.3105 0.3211  1 Cl 2.50, 2 As 2.63
As: 0.9894 0.3105 0.6789  1 Cl 2.50, 2 As 2.63
Cl: 0.4961 0.9961 0.5000  2 As 2.50

Calculated values
**Excess energy over the best structure of this formula in the dataset**: 0.278 eV per atom
**Formation energy from raw total energies**: 27.5 kJ per mole of atoms



# 7
Below is NdEu2Sc after structural relaxation, with properties calculated at the GGA-PBE level.

Lattice parameters (Å, degrees): 12.7983 12.7983 12.7983 15.82 15.82 15.82
Closest atoms and distances in Å follow each position.
Fractional positions:
Nd: 0.0000 0.0000 0.0000  6 Nd 3.52, 6 Eu 3.77
Eu: 0.4170 0.4170 0.4170  1 Sc 3.15
Eu: 0.5830 0.5830 0.5830  1 Sc 3.15
Sc: 0.5000 0.5000 0.5000  2 Eu 3.15

Calculated values
**Excess energy over the best structure of this formula in the dataset**: 0.131 eV per atom
**Energy relative to the elements**: 284 meV/atom



# 8
Below is LiTc2Pb after structural relaxation, with properties calculated at the GGA-PBE level.

Lattice parameters (Å, degrees): 3.7884 3.7884 4.5516 90.00 90.00 90.00
Closest atoms and distances in Å follow each position.
Fractional positions:
Li: 0.0000 0.0000 0.0000  4 Pb 2.68, 8 Tc 2.96
Tc: 0.0000 0.5000 0.5000  4 Tc 2.68, 4 Li 2.96, 4 Pb 2.96
Tc: 0.5000 0.0000 0.5000  4 Tc 2.68, 4 Li 2.96, 4 Pb 2.96
Pb: 0.5000 0.5000 0.0000  4 Li 2.68, 8 Tc 2.96

Calculated values
**Energy relative to the elements**: 489 meV/atom



# 9
Below is TlCr2Ag after structural relaxation, with properties calculated at the GGA-PBE level.

Lattice parameters (Å, degrees): 3.1337 3.1337 7.1561 90.00 90.00 90.00
Closest atoms and distances in Å follow each position.
Fractional positions:
Tl: 0.0000 0.0000 0.0000  5 Cr 3.02-3.15, 4 Ag 3.11, 4 Tl 3.13
Cr: 0.0000 0.0000 0.5605  4 Cr 2.47
Cr: 0.5000 0.5000 0.7138  4 Cr 2.47
Ag: 0.5000 0.5000 0.3052  5 Cr 2.87-2.92, 4 Tl 3.11, 4 Ag 3.13

Calculated values
**Energy relative to the elements**: 402 meV/atom



# 10
Below is Zn5Ga2Pd2 after structural relaxation, with properties calculated at the GGA-PBE level.

Lattice parameters (Å, degrees): 8.9943 8.9943 8.9943 57.93 148.61 132.64
Closest atoms and distances in Å follow each position.
Fractional positions:
Zn: 0.0932 0.0806 0.1739  3 Pd 2.63-2.72, 3 Zn 2.64-2.80, 3 Ga 2.65-2.83
Zn: 0.0932 0.4194 0.5126  3 Pd 2.63-2.72, 3 Zn 2.64-2.80, 3 Ga 2.65-2.83
Zn: 0.3288 0.0014 0.6585  3 Ga 2.61-2.73, 5 Zn 2.64-2.82, 2 Pd 2.66-2.67
Zn: 0.3288 0.1703 0.8274  3 Ga 2.61-2.73, 5 Zn 2.64-2.82, 2 Pd 2.66-2.67
Zn: 0.3429 0.5014 0.1726  3 Ga 2.61-2.73, 5 Zn 2.64-2.82, 2 Pd 2.66-2.67
Zn: 0.3429 0.6703 0.3415  3 Ga 2.61-2.73, 5 Zn 2.64-2.82, 2 Pd 2.66-2.67
Zn: 0.5929 0.4260 0.6669  3 Ga 2.62-2.75, 4 Zn 2.66-2.82, 2 Pd 2.72
Zn: 0.7592 0.9260 0.3331  3 Ga 2.62-2.75, 4 Zn 2.66-2.82, 2 Pd 2.72
Zn: 0.9068 0.5806 0.4874  3 Pd 2.63-2.72, 3 Zn 2.64-2.80, 3 Ga 2.65-2.83
Zn: 0.9068 0.9194 0.8261  3 Pd 2.63-2.72, 3 Zn 2.64-2.80, 3 Ga 2.65-2.83
Ga: 0.1149 0.7673 0.8476  9 Zn 2.62-2.83
Ga: 0.3301 0.3301 0.0000  6 Zn 2.61-2.74, 4 Pd 2.69-2.75
Ga: 0.3301 0.8301 0.5000  6 Zn 2.61-2.74, 4 Pd 2.69-2.75
Ga: 0.9197 0.2673 0.1524  9 Zn 2.62-2.83
Pd: 0.5497 0.0658 0.3096  6 Zn 2.63-2.72, 2 Ga 2.69-2.75, 1 Pd 2.92
Pd: 0.5497 0.7401 0.9838  6 Zn 2.63-2.72, 2 Ga 2.69-2.75, 1 Pd 2.92
Pd: 0.7563 0.2401 0.6904  6 Zn 2.63-2.72, 2 Ga 2.69-2.75, 1 Pd 2.92
Pd: 0.7563 0.5658 0.0162  6 Zn 2.63-2.72, 2 Ga 2.69-2.75, 1 Pd 2.92

Calculated values
**Energy relative to the elements**: -195 meV/atom



# 11
Below is Cd2BiPb2 after structural relaxation, with properties calculated at the GGA-PBE level.

Lattice parameters (Å, degrees): 9.3323 9.3323 3.3993 90.00 90.00 90.00
Closest atoms and distances in Å follow each position.
Fractional positions:
Cd: 0.1135 0.3865 0.0000  1 Cd 3.00, 6 Pb 3.13-3.35
Cd: 0.3865 0.8865 0.0000  1 Cd 3.00, 6 Pb 3.13-3.35
Cd: 0.6135 0.1135 0.0000  1 Cd 3.00, 6 Pb 3.13-3.35
Cd: 0.8865 0.6135 0.0000  1 Cd 3.00, 6 Pb 3.13-3.35
Bi: 0.0000 0.0000 0.5000  2 Bi 3.40, 4 Pb 3.40
Bi: 0.5000 0.5000 0.5000  2 Bi 3.40, 4 Pb 3.40
Pb: 0.1870 0.6870 0.5000  6 Cd 3.13-3.35, 2 Pb 3.40, 2 Bi 3.40
Pb: 0.3130 0.1870 0.5000  6 Cd 3.13-3.35, 2 Pb 3.40, 2 Bi 3.40
Pb: 0.6870 0.8130 0.5000  6 Cd 3.13-3.35, 2 Pb 3.40, 2 Bi 3.40
Pb: 0.8130 0.3130 0.5000  6 Cd 3.13-3.35, 2 Pb 3.40, 2 Bi 3.40

Calculated values
**Excess energy over the best structure of this formula in the dataset**: 0.035 eV per atom
**Energy relative to the elements**: 95 meV/atom



# 12
Below is Cs2MoPBr6 after structural relaxation, with properties calculated at the GGA-PBE level.

Lattice parameters (Å, degrees): 8.0832 8.0832 8.0832 123.95 123.95 83.29
Closest atoms and distances in Å follow each position.
Fractional positions:
Cs: 0.2500 0.7500 0.5000  12 Br 3.82-4.04
Cs: 0.7500 0.2500 0.5000  12 Br 3.82-4.04
Mo: 0.0000 0.0000 0.0000  6 Br 2.61-2.71
P: 0.5000 0.5000 0.0000  4 Br 2.67
Br: 0.2160 0.2160 0.0000  1 Mo 2.61
Br: 0.2519 0.2519 0.5038  1 P 2.67, 1 Mo 2.71
Br: 0.2519 0.7481 0.0000  1 P 2.67, 1 Mo 2.71
Br: 0.7481 0.2519 0.0000  1 P 2.67, 1 Mo 2.71
Br: 0.7481 0.7481 0.4962  1 P 2.67, 1 Mo 2.71
Br: 0.7840 0.7840 0.0000  1 Mo 2.61

Calculated values
**Formation energy from raw total energies**: -70.4 kJ per mole of atoms



These records have magnetic moment values of 0.0 0.0 0.0 0.0 4.8 0.0 14.7 0.0 0.3 0.0 0.0 5.0 μB/cell, in the order they appear.